Entry 1:
VASP calculation (meta-GGA SCAN) on a PBEsol-optimized structure of SrLiZn.

abc: 4.6824 4.6824 4.2591
angles: 90.00 90.00 120.00
Element x y z (fractional)
Sr: 0.0000 0.0000 0.0000
Li: 0.6667 0.3333 0.5000
Zn: 0.3333 0.6667 0.5000

Computed properties:
**Relative energy among the computed polymorphs**: 0.000 eV/atom
**Total moment**: 0.000 μB/atom
**SG**: No. 187
**V**: 81 Å³/f.u.

***

Entry 2:
VASP calculation (meta-GGA SCAN) on a PBEsol-optimized structure of NaBS2N.

abc: 5.3648 5.3648 2.6357
angles: 90.00 90.00 90.00
Element x y z (fractional)
Na: 0.0000 0.0000 0.0000
B: 0.5000 0.5000 0.5000
S: 0.0000 0.5000 0.5000
S: 0.5000 0.0000 0.5000
N: 0.5000 0.5000 0.0000

Computed properties:
**Raw formation energy**: -0.10 eV per atom
**Total moment**: 0.303 μB/atom
**SG**: No. 123
**V**: 76 Å³/f.u.

***

Entry 3:
VASP calculation (meta-GGA SCAN) on a PBEsol-optimized structure of La5Sb.

abc: 6.0960 6.0960 5.8423
angles: 90.00 90.00 120.00
Element x y z (fractional)
La: 0.0000 0.3011 0.0000
La: 0.3011 0.0000 0.0000
La: 0.3333 0.6667 0.5000
La: 0.6667 0.3333 0.5000
La: 0.6989 0.6989 0.0000
Sb: 0.0000 0.0000 0.5000

Computed properties:
**Relative energy among the computed polymorphs**: 0.044 eV/atom
**Raw formation energy**: -0.37 eV per atom
**Total moment**: 0.000 μB/atom
**SG**: No. 189
**V**: 188 Å³/f.u.